## Dy2SbBr2 (PBE)

Data for an optimized crystal structure of Dy2SbBr2.

```
data_Dy2SbBr2
_chemical_formula_sum 'Dy6 Sb3 Br6'
_space_group_name_H-M_alt 'R -3 m'
_space_group_IT_number 166
_space_group_name_Hall '-R 3 2"'
_cell_length_a 4.2325
_cell_length_b 4.2325
_cell_length_c 32.2869
_cell_angle_alpha 90.00
_cell_angle_beta 90.00
_cell_angle_gamma 120.00
loop_
_atom_site_label
_atom_site_type_symbol
_atom_site_fract_x
_atom_site_fract_y
_atom_site_fract_z
_atom_site_occupancy
Dy1 Dy 0.0000 0.0000 0.1128 1
Sb1 Sb 0.0000 0.0000 0.5000 1
Br1 Br 0.0000 0.0000 0.2737 1
```

Results
- ΔE_f (raw) (eV/f.u.) = -7.300